1.
This record from the Alexandria database describes TiMnRe after structural relaxation. The functional is PBE-GGA.

Lattice parameters (Å, degrees): 3.0098 3.0098 9.1230 90.00 90.00 90.00
Space group I4mm (No. 107)
Inequivalent atoms, fractional coordinates:
1 Ti 0.0000 0.0000 0.0000
2 Mn 0.0000 0.0000 0.3369
3 Re 0.0000 0.0000 0.6775

Computed properties:
The raw total energy comes out at -0.739 Ry/atom. Its volume is 82.6 Å³/cell. The calculation puts the density of states at the Fermi level at 0.62 states/eV per atom. For the distance to the lowest polymorph of the same formula, the calculation gives 12 meV/atom.



2.
This record from the Alexandria database describes Rb2LiZr2Te6 after structural relaxation. The functional is PBE-GGA.

Lattice parameters (Å, degrees): 7.2432 12.5158 9.1976 90.00 104.79 90.00
Space group C2/m (No. 12)
Inequivalent atoms, fractional coordinates:
1 Rb 0.0000 0.1644 0.0000
2 Li 0.0000 0.0000 0.5000
3 Zr 0.0000 0.3320 0.5000
4 Te 0.2111 0.5000 0.6926
5 Te 0.2341 0.1695 0.6903

Computed properties:
The raw total energy comes out at -0.332 Ry/atom. The value obtained for the uncorrected formation energy is -893 meV/atom. Its volume is 806.2 Å³/cell. The calculation puts the density of states at the Fermi level at 0.36 states/eV per atom.



3.
This record from the Alexandria database describes HfGe3H after structural relaxation. The functional is PBE-GGA.

Lattice parameters (Å, degrees): 4.2530 4.2530 4.2530 90.00 90.00 90.00
Space group Pm-3m (No. 221)
Inequivalent atoms, fractional coordinates:
1 Hf 0.0000 0.0000 0.0000
2 Ge 0.0000 0.5000 0.5000
3 H 0.5000 0.5000 0.5000

Computed properties:
The raw total energy comes out at -0.389 Ry/atom. Its volume is 76.9 Å³/cell. The calculation puts the density of states at the Fermi level at 0.46 states/eV per atom. For the distance to the lowest polymorph of the same formula, the calculation gives 0 meV/atom.



4.
This record from the Alexandria database describes NaLi2H3 after structural relaxation. The functional is PBE-GGA.

Lattice parameters (Å, degrees): 2.8345 8.3780 5.1196 90.00 90.00 90.00
Space group Pmc2_1 (No. 26)
Inequivalent atoms, fractional coordinates:
1 Na 0.0000 0.1162 0.0000
2 Li 0.0000 0.2509 0.4982
3 Li 0.5000 0.4591 0.0024
4 H 0.0000 0.4205 0.7313
5 H 0.5000 0.0998 0.6476
6 H 0.5000 0.2866 0.2386

Computed properties:
The raw total energy comes out at -0.206 Ry/atom. Its volume is 121.6 Å³/cell. The calculation puts the density of states at the Fermi level at 0.00 states/eV per atom. For the distance to the lowest polymorph of the same formula, the calculation gives 49 meV/atom.



5.
This record from the Alexandria database describes Ca4SbPt after structural relaxation. The functional is PBE-GGA.

Lattice parameters (Å, degrees): 8.8569 8.8569 8.8569 90.00 90.00 90.00
Space group F-43m (No. 216)
Inequivalent atoms, fractional coordinates:
1 Ca 0.1249 0.1249 0.1249
2 Sb 0.0000 0.0000 0.5000
3 Pt 0.2500 0.2500 0.7500

Computed properties:
The raw total energy comes out at -0.211 Ry/atom. The value obtained for the uncorrected formation energy is 157 meV/atom. Its volume is 694.8 Å³/cell. The calculation puts the density of states at the Fermi level at 0.90 states/eV per atom. For the distance to the lowest polymorph of the same formula, the calculation gives 909 meV/atom.



6.
This record from the Alexandria database describes NaHo2Th after structural relaxation. The functional is PBE-GGA.

Lattice parameters (Å, degrees): 3.5657 3.5657 10.3760 90.00 90.00 90.00
Space group P4/mmm (No. 123)
Inequivalent atoms, fractional coordinates:
1 Na 0.0000 0.0000 0.0000
2 Ho 0.5000 0.5000 0.2747
3 Th 0.0000 0.0000 0.5000

Computed properties:
The raw total energy comes out at -0.321 Ry/atom. Its volume is 131.9 Å³/cell. The calculation puts the density of states at the Fermi level at 0.93 states/eV per atom. For the distance to the lowest polymorph of the same formula, the calculation gives 0 meV/atom.